[1]
Material: CuBi2Pb2
Method: DFT, PBE-GGA
State: optimized geometry

Output
E_form in meV per atom: 247
Distance to the lowest polymorph of the same formula in eV/atom: 0.081

abc: 7.0613 7.0613 5.8670
angles: 90.00 90.00 90.00
Space group P4/mbm (No. 127)
One atom of each set of equivalent atoms:
1 Cu 0.0000 0.0000 0.0000
2 Bi 0.1748 0.3252 0.5000
3 Pb 0.1589 0.6589 0.0000


[2]
Material: CuBiPb
Method: DFT, PBE-GGA
State: optimized geometry

Output
E_form in meV per atom: 106
Distance to the lowest polymorph of the same formula in eV/atom: 0.000

abc: 6.8233 6.8233 6.8233
angles: 90.00 90.00 90.00
Space group F-43m (No. 216)
One atom of each set of equivalent atoms:
1 Cu 0.0000 0.0000 0.0000
2 Bi 0.2500 0.2500 0.2500
3 Pb 0.2500 0.2500 0.7500